# 1
PBE-GGA LiNpSb2, optimized geometry; uncorrected energy = -6.001 eV/atom
1.0
3.8251 0.0000 0.0000
0.0000 3.8251 0.0000
0.0000 0.0000 6.5546
Sb Np Li
2 1 1
Direct
0.0000 0.0000 0.2315
0.0000 0.0000 0.7685
0.5000 0.5000 0.5000
0.5000 0.5000 0.0000



# 2
PBE-GGA LiNpSb3, optimized geometry; uncorrected energy = -5.744 eV/atom
1.0
6.2155 0.0000 0.0000
0.0000 6.0540 0.0000
0.0000 0.0000 13.3447
Sb Li Np
12 4 4
Direct
0.2500 0.5067 0.7407
0.2500 0.7036 0.0841
0.7500 0.7964 0.0841
0.7500 0.4933 0.2593
0.7500 0.2964 0.9159
0.5000 0.2500 0.4972
0.5000 0.7500 0.5028
0.0000 0.7500 0.5028
0.2500 0.0067 0.2593
0.7500 0.9933 0.7407
0.2500 0.2036 0.9159
0.0000 0.2500 0.4972
0.5000 0.7500 0.8951
0.0000 0.2500 0.1049
0.0000 0.7500 0.8951
0.5000 0.2500 0.1049
0.2500 0.0101 0.6824
0.2500 0.5101 0.3176
0.7500 0.4899 0.6824
0.7500 0.9899 0.3176



# 3
PBE-GGA LiNpSb2, optimized geometry; uncorrected energy = -5.964 eV/atom
1.0
-2.0475 3.4476 3.2975
0.6476 -0.5999 5.1159
3.0956 3.2393 2.6221
Np Sb Li
1 2 1
Direct
0.0000 0.0000 0.0000
0.2500 0.2500 0.2500
0.7500 0.7500 0.7500
0.5000 0.5000 0.5000



# 4
PBE-GGA Li2NpSb2, optimized geometry; uncorrected energy = -5.369 eV/atom
1.0
4.1648 0.0011 1.8109
1.6878 3.8075 1.8109
-0.5910 -0.3846 7.0545
Sb Li Np
2 2 1
Direct
0.4179 0.9179 0.7463
0.5821 0.0821 0.2537
0.8040 0.3040 0.5880
0.1960 0.6960 0.4120
0.0000 0.5000 0.0000



# 5
PBE-GGA LiNpSb2, optimized geometry; uncorrected energy = -5.954 eV/atom
1.0
-0.5081 -1.7260 4.0725
-3.5377 -2.5438 0.9142
1.9649 -6.6842 -0.1541
Np Li Sb
1 1 2
Direct
0.6705 0.6705 0.9884
0.4914 0.4914 0.5256
0.2460 0.2460 0.2619
0.0920 0.0920 0.7240



# 6
PBE-GGA LiNpSb2, optimized geometry; uncorrected energy = -6.063 eV/atom
1.0
3.2152 0.0000 0.0000
0.0000 5.5431 0.0000
0.0000 0.0000 5.5431
Sb Li Np
2 1 1
Direct
0.0000 0.5000 0.0000
0.0000 0.0000 0.5000
0.5000 0.0000 0.0000
0.5000 0.5000 0.5000



# 7
PBE-GGA Li3Np3SbSe8, optimized geometry; uncorrected energy = -6.128 eV/atom
1.0
8.2355 0.0000 -0.0001
-4.1178 7.1316 -0.0251
0.0000 -4.7338 6.4503
Np Li Se Sb
3 3 8 1
Direct
0.0000 0.5000 0.5000
0.5000 0.5000 0.5000
0.5000 0.0000 0.5000
0.0000 0.0000 0.0000
0.5000 0.5000 0.0000
0.0000 0.5000 0.0000
0.2508 0.0001 0.2496
0.7518 0.5036 0.7553
0.2482 0.4964 0.2447
0.7492 0.9999 0.7504
0.7493 0.4986 0.2496
0.2507 0.5014 0.7504
0.7493 0.0001 0.2496
0.2507 0.9999 0.7504
0.0000 0.0000 0.5000



# 8
PBE-GGA Li2NpSbSe4, optimized geometry; uncorrected energy = -5.249 eV/atom
1.0
4.1169 0.0000 0.0000
0.0000 7.1471 0.1161
0.0000 -2.4962 6.4379
Se Li Np Sb
4 2 1 1
Direct
0.5000 0.7479 0.7413
0.0000 0.2476 0.7439
0.0000 0.7524 0.2561
0.5000 0.2521 0.2587
0.0000 0.5000 0.5000
0.5000 0.0000 0.5000
0.5000 0.5000 0.0000
0.0000 0.0000 0.0000



# 9
PBE-GGA Li3NpSb2Se6, optimized geometry; uncorrected energy = -4.794 eV/atom
1.0
-5.3079 -4.5245 -1.4011
5.1144 1.0958 -4.8218
3.5443 -3.7491 4.6389
Sb Se Li Np
2 6 3 1
Direct
0.6653 0.3347 0.0000
0.3347 0.6653 0.0000
0.5798 0.9147 0.7425
0.7502 0.7502 0.2598
0.9147 0.5798 0.7425
0.4202 0.0853 0.2575
0.0853 0.4202 0.2575
0.2498 0.2498 0.7402
0.8221 0.1779 0.5000
0.5000 0.5000 0.5000
0.1779 0.8221 0.5000
0.0000 0.0000 0.0000



# 10
PBE-GGA LiNpSnSb, optimized geometry; uncorrected energy = -5.846 eV/atom
1.0
-3.3839 -1.2509 -3.7135
1.1025 -3.8066 -3.3316
-2.5757 -4.4844 0.2485
Li Np Sb Sn
1 1 1 1
Direct
0.0000 0.0000 0.0000
0.5000 0.5000 0.5000
0.7500 0.7500 0.7500
0.2500 0.2500 0.2500



# 11
PBE-GGA LiNpTcSb, optimized geometry; uncorrected energy = -7.311 eV/atom
1.0
4.7163 0.0000 0.0000
2.3581 4.0844 0.0000
2.3581 1.3615 3.8508
Np Sb Li Tc
1 1 1 1
Direct
0.7500 0.7500 0.7500
0.2500 0.2500 0.2500
0.0000 0.0000 0.0000
0.5000 0.5000 0.5000



# 12
PBE-GGA Li2NpSbTe4, optimized geometry; uncorrected energy = -4.779 eV/atom
1.0
-2.1198 1.8696 -3.3622
5.4961 -2.3081 -4.7486
-5.3146 -5.1955 0.4617
Li Te Np Sb
2 4 1 1
Direct
0.0000 0.5000 0.5000
0.5000 0.0000 0.5000
0.5000 0.2492 0.2588
0.0000 0.7551 0.2580
0.0000 0.2449 0.7420
0.5000 0.7508 0.7412
0.5000 0.5000 0.0000
0.0000 0.0000 0.0000



| no. | magnetic moment (μB/atom) |
| --- | --- |
| 1 | 1.110 |
| 2 | 0.751 |
| 3 | 0.992 |
| 4 | 0.800 |
| 5 | 0.976 |
| 6 | 0.970 |
| 7 | 0.733 |
| 8 | 0.500 |
| 9 | 0.333 |
| 10 | 1.080 |
| 11 | 0.900 |
| 12 | 0.500 |